No. 1
# Pr8PdPt3Cl4

Pr8PdPt3Cl4 after structural relaxation (GGA-PBE, Alexandria).

a b c (Å): 8.4514 8.4514 22.4342
angles (deg): 90.00 90.00 120.00
Space group R-3m (No. 166, hexagonal axes)
Unique sites:
Pr: 0.0000 0.0000 0.2367
Pr: 0.0025 0.5012 0.7629
Pd: 0.0000 0.0000 0.5000
Pt: 0.0000 0.5000 0.5000
Cl: 0.0000 0.0000 0.0000
Cl: 0.0000 0.5000 0.0000

- E_form (uncorrected) (eV per atom) = -1.272


No. 2
# Sm12In3Pb

Sm12In3Pb after structural relaxation (GGA-PBE, Alexandria).

a b c (Å): 4.933 4.933 19.761
angles (deg): 90.00 90.00 90.00
Space group P4/mmm (No. 123)
Unique sites:
Sm: 0.000 0.000 0.000
Sm: 0.000 0.000 0.250
Sm: 0.000 0.000 0.500
Sm: 0.000 0.500 0.125
Sm: 0.000 0.500 0.374
In: 0.500 0.500 0.000
In: 0.500 0.500 0.249
Pb: 0.500 0.500 0.500

- E_form (eV/atom) = -0.29


Number 1: mass density 7.0 g cm⁻³. Number 2: mass density 8.1 g cm⁻³.